[1]
U3Ga5Se12 | PBE | optimized geometry

Lattice parameters (Å, degrees): 13.8309 13.8309 13.8309 109.47 109.47 109.47
Closest atoms and distances in Å follow each position.
Fractional positions:
1 U 0.1250 0.2500 0.3750  8 Se 3.02-3.05
2 U 0.1250 0.3750 0.7500  8 Se 3.02-3.05
3 U 0.2500 0.3750 0.1250  8 Se 3.02-3.05
4 U 0.2500 0.8750 0.6250  8 Se 3.02-3.05
5 U 0.3750 0.1250 0.2500  8 Se 3.02-3.05
6 U 0.3750 0.7500 0.1250  8 Se 3.02-3.05
7 U 0.6250 0.2500 0.8750  8 Se 3.02-3.05
8 U 0.6250 0.8750 0.7500  8 Se 3.02-3.05
9 U 0.7500 0.1250 0.3750  8 Se 3.02-3.05
10 U 0.7500 0.6250 0.8750  8 Se 3.02-3.05
11 U 0.8750 0.6250 0.2500  8 Se 3.02-3.05
12 U 0.8750 0.7500 0.6250  8 Se 3.02-3.05
13 Ga 0.0000 0.0000 0.0000  6 Se 2.66
14 Ga 0.0000 0.0000 0.5000  6 Se 2.66
15 Ga 0.0000 0.5000 0.0000  6 Se 2.66
16 Ga 0.0000 0.5000 0.5000  6 Se 2.66
17 Ga 0.1250 0.7500 0.8750  4 Se 2.45
18 Ga 0.1250 0.8750 0.2500  4 Se 2.45
19 Ga 0.2500 0.1250 0.8750  4 Se 2.45
20 Ga 0.2500 0.6250 0.3750  4 Se 2.45
21 Ga 0.3750 0.2500 0.6250  4 Se 2.45
22 Ga 0.3750 0.6250 0.7500  4 Se 2.45
23 Ga 0.5000 0.0000 0.0000  6 Se 2.66
24 Ga 0.5000 0.0000 0.5000  6 Se 2.66
25 Ga 0.5000 0.5000 0.0000  6 Se 2.66
26 Ga 0.5000 0.5000 0.5000  6 Se 2.66
27 Ga 0.6250 0.3750 0.2500  4 Se 2.45
28 Ga 0.6250 0.7500 0.3750  4 Se 2.45
29 Ga 0.7500 0.3750 0.6250  4 Se 2.45
30 Ga 0.7500 0.8750 0.1250  4 Se 2.45
31 Ga 0.8750 0.1250 0.7500  4 Se 2.45
32 Ga 0.8750 0.2500 0.1250  4 Se 2.45
33 Se 0.0383 0.2154 0.1279  2 Ga 2.45-2.66
34 Se 0.0383 0.3229 0.9105  2 Ga 2.45-2.66
35 Se 0.0875 0.7154 0.6771  2 Ga 2.45-2.66
36 Se 0.0875 0.8721 0.4105  2 Ga 2.45-2.66
37 Se 0.0895 0.6279 0.4125  2 Ga 2.45-2.66
38 Se 0.0895 0.9617 0.6771  2 Ga 2.45-2.66
39 Se 0.1279 0.0383 0.2154  2 Ga 2.45-2.66
40 Se 0.1279 0.5895 0.9125  2 Ga 2.45-2.66
41 Se 0.1771 0.2154 0.5875  2 Ga 2.45-2.66
42 Se 0.1771 0.4617 0.5895  2 Ga 2.45-2.66
43 Se 0.2154 0.1279 0.0383  2 Ga 2.45-2.66
44 Se 0.2154 0.5875 0.1771  2 Ga 2.45-2.66
45 Se 0.2846 0.3229 0.9125  2 Ga 2.45-2.66
46 Se 0.2846 0.4617 0.3721  2 Ga 2.45-2.66
47 Se 0.3229 0.9105 0.0383  2 Ga 2.45-2.66
48 Se 0.3229 0.9125 0.2846  2 Ga 2.45-2.66
49 Se 0.3721 0.2846 0.4617  2 Ga 2.45-2.66
50 Se 0.3721 0.5875 0.9105  2 Ga 2.45-2.66
51 Se 0.4105 0.0875 0.8721  2 Ga 2.45-2.66
52 Se 0.4105 0.8229 0.5383  2 Ga 2.45-2.66
53 Se 0.4125 0.0895 0.6279  2 Ga 2.45-2.66
54 Se 0.4125 0.8229 0.7846  2 Ga 2.45-2.66
55 Se 0.4617 0.3721 0.2846  2 Ga 2.45-2.66
56 Se 0.4617 0.5895 0.1771  2 Ga 2.45-2.66
57 Se 0.5383 0.4105 0.8229  2 Ga 2.45-2.66
58 Se 0.5383 0.6279 0.7154  2 Ga 2.45-2.66
59 Se 0.5875 0.1771 0.2154  2 Ga 2.45-2.66
60 Se 0.5875 0.9105 0.3721  2 Ga 2.45-2.66
61 Se 0.5895 0.1771 0.4617  2 Ga 2.45-2.66
62 Se 0.5895 0.9125 0.1279  2 Ga 2.45-2.66
63 Se 0.6279 0.4125 0.0895  2 Ga 2.45-2.66
64 Se 0.6279 0.7154 0.5383  2 Ga 2.45-2.66
65 Se 0.6771 0.0875 0.7154  2 Ga 2.45-2.66
66 Se 0.6771 0.0895 0.9617  2 Ga 2.45-2.66
67 Se 0.7154 0.5383 0.6279  2 Ga 2.45-2.66
68 Se 0.7154 0.6771 0.0875  2 Ga 2.45-2.66
69 Se 0.7846 0.4125 0.8229  2 Ga 2.45-2.66
70 Se 0.7846 0.8721 0.9617  2 Ga 2.45-2.66
71 Se 0.8229 0.5383 0.4105  2 Ga 2.45-2.66
72 Se 0.8229 0.7846 0.4125  2 Ga 2.45-2.66
73 Se 0.8721 0.4105 0.0875  2 Ga 2.45-2.66
74 Se 0.8721 0.9617 0.7846  2 Ga 2.45-2.66
75 Se 0.9105 0.0383 0.3229  2 Ga 2.45-2.66
76 Se 0.9105 0.3721 0.5875  2 Ga 2.45-2.66
77 Se 0.9125 0.1279 0.5895  2 Ga 2.45-2.66
78 Se 0.9125 0.2846 0.3229  2 Ga 2.45-2.66
79 Se 0.9617 0.6771 0.0895  2 Ga 2.45-2.66
80 Se 0.9617 0.7846 0.8721  2 Ga 2.45-2.66

Calculated values
- V (Å³ per cell) = 2037
- spin magnetization (μB/cell) = 31.779
- raw formation energy (meV per atom) = -734

[2]
Nd7Mg4Tl | PBE | optimized geometry

Lattice parameters (Å, degrees): 8.1931 8.1931 9.6945 117.69 117.69 42.53
Closest atoms and distances in Å follow each position.
Fractional positions:
1 Nd 0.0000 0.0000 0.0000  2 Tl 2.97, 2 Mg 3.12
2 Nd 0.2574 0.2574 0.7310  4 Mg 3.18-3.37, 1 Tl 3.30, 2 Nd 3.41-3.49
3 Nd 0.3191 0.3191 0.1211  7 Nd 3.41-3.79, 1 Tl 3.50, 2 Mg 3.64
4 Nd 0.4140 0.4140 0.5646  5 Mg 3.16-3.53, 2 Nd 3.43-3.49
5 Nd 0.5860 0.5860 0.4354  5 Mg 3.16-3.53, 2 Nd 3.43-3.49
6 Nd 0.6809 0.6809 0.8789  7 Nd 3.41-3.79, 1 Tl 3.50, 2 Mg 3.64
7 Nd 0.7426 0.7426 0.2690  4 Mg 3.18-3.37, 1 Tl 3.30, 2 Nd 3.41-3.49
8 Mg 0.0350 0.0350 0.6804  2 Mg 3.07-3.11, 4 Nd 3.18-3.40
9 Mg 0.1760 0.1760 0.3527  1 Mg 3.07, 5 Nd 3.12-3.37
10 Mg 0.8240 0.8240 0.6473  1 Mg 3.07, 5 Nd 3.12-3.37
11 Mg 0.9650 0.9650 0.3196  2 Mg 3.07-3.11, 4 Nd 3.18-3.40
12 Tl 0.5000 0.5000 0.0000  4 Nd 2.97-3.30

Calculated values
- V (Å³ per cell) = 381
- E_form (kJ/mol of atoms) = 4
- spin magnetization (μB/cell) = 0.000

[3]
CaPtSe | PBE | optimized geometry

Lattice parameters (Å, degrees): 4.5404 4.6872 8.1576 94.47 105.30 111.72
Closest atoms and distances in Å follow each position.
Fractional positions:
1 Ca 0.0000 0.0000 0.0000  4 Se 2.94-3.07, 2 Pt 3.12-3.15
2 Ca 0.2054 0.8435 0.5240  3 Pt 2.80-2.88, 2 Se 2.96-3.06
3 Pt 0.5894 0.4902 0.5858  2 Se 2.44-2.46
4 Pt 0.6801 0.1118 0.2808  2 Se 2.42-2.48
5 Se 0.5115 0.5588 0.2831  3 Pt 2.42-2.48
6 Se 0.5791 0.3312 0.8622  1 Pt 2.44

Calculated values
- V (Å³ per cell) = 153
- spin magnetization (μB/cell) = 0.000
- raw formation energy (meV per atom) = -1010

[4]
CeNdDy2Tm4 | PBE | optimized geometry

Lattice parameters (Å, degrees): 5.0136 5.0316 9.8627 90.00 90.00 90.00
Closest atoms and distances in Å follow each position.
Fractional positions:
1 Ce 0.0000 0.0000 0.0000  8 Tm 3.49-3.50, 4 Dy 3.55
2 Nd 0.5000 0.5000 0.5000  8 Tm 3.54-3.55, 4 Dy 3.55
3 Dy 0.0000 0.0000 0.5000  8 Tm 3.54-3.55, 4 Nd 3.55
4 Dy 0.5000 0.5000 0.0000  8 Tm 3.49-3.50, 4 Ce 3.55
5 Tm 0.0000 0.5000 0.2463  4 Dy 3.49-3.55, 2 Ce 3.50, 2 Nd 3.54, 4 Tm 3.55
6 Tm 0.0000 0.5000 0.7537  4 Dy 3.49-3.55, 2 Ce 3.50, 2 Nd 3.54, 4 Tm 3.55
7 Tm 0.5000 0.0000 0.2465  2 Ce 3.49, 4 Dy 3.50-3.54, 2 Nd 3.55, 4 Tm 3.55
8 Tm 0.5000 0.0000 0.7535  2 Ce 3.49, 4 Dy 3.50-3.54, 2 Nd 3.55, 4 Tm 3.55

Calculated values
- V (Å³ per cell) = 249
- E_form (kJ/mol of atoms) = 5
- spin magnetization (μB/cell) = 0.967

[5]
K8Rh3O8 | PBE | optimized geometry

Lattice parameters (Å, degrees): 10.3651 10.3651 7.9771 106.51 106.51 30.81
Closest atoms and distances in Å follow each position.
Fractional positions:
1 K 0.0234 0.0234 0.2503  5 O 2.77-2.94
2 K 0.1970 0.1970 0.7838  5 O 2.78-3.06
3 K 0.3366 0.3366 0.5451  4 O 2.73-2.83
4 K 0.3965 0.3965 0.0499  4 O 2.68-2.87
5 K 0.6035 0.6035 0.9501  4 O 2.68-2.87
6 K 0.6634 0.6634 0.4549  4 O 2.73-2.83
7 K 0.8030 0.8030 0.2162  5 O 2.78-3.06
8 K 0.9766 0.9766 0.7497  5 O 2.77-2.94
9 Rh 0.1876 0.1876 0.2025  3 O 1.84-1.86
10 Rh 0.5000 0.5000 0.5000  2 O 1.86
11 Rh 0.8124 0.8124 0.7975  3 O 1.84-1.86
12 O 0.1089 0.1089 0.0064  1 Rh 1.86
13 O 0.1755 0.1755 0.4227  1 Rh 1.84
14 O 0.2762 0.2762 0.1758  1 Rh 1.85
15 O 0.4774 0.4774 0.7101  1 Rh 1.86
16 O 0.5226 0.5226 0.2899  1 Rh 1.86
17 O 0.7238 0.7238 0.8242  1 Rh 1.85
18 O 0.8245 0.8245 0.5773  1 Rh 1.84
19 O 0.8911 0.8911 0.9936  1 Rh 1.86

Calculated values
- V (Å³ per cell) = 419
- spin magnetization (μB/cell) = 2.267
- raw formation energy (meV per atom) = -1072

[6]
Nd2DyHoIn2 | PBE | optimized geometry

Lattice parameters (Å, degrees): 5.2601 9.9941 6.8065 90.00 90.00 90.00
Closest atoms and distances in Å follow each position.
Fractional positions:
1 Nd 0.0000 0.0376 0.0000  5 In 3.32-3.68, 4 Nd 3.49-3.54, 1 Ho 3.69
2 Nd 0.0000 0.9624 0.5000  5 In 3.32-3.68, 4 Nd 3.49-3.54, 1 Ho 3.69
3 Nd 0.5000 0.1810 0.2769  5 In 3.26-3.57, 2 Nd 3.54
4 Nd 0.5000 0.8190 0.7769  5 In 3.26-3.57, 2 Nd 3.54
5 Dy 0.5000 0.4627 0.9336  5 In 3.27-3.59, 2 Dy 3.48, 2 Ho 3.52, 1 Nd 3.66
6 Dy 0.5000 0.5373 0.4336  5 In 3.27-3.59, 2 Dy 3.48, 2 Ho 3.52, 1 Nd 3.66
7 Ho 0.0000 0.3234 0.6569  4 In 3.13-3.27
8 Ho 0.0000 0.6766 0.1569  4 In 3.13-3.27
9 In 0.0000 0.3641 0.1801  2 Ho 3.13-3.27, 3 Nd 3.27-3.49, 2 Dy 3.27
10 In 0.0000 0.6359 0.6801  2 Ho 3.13-3.27, 3 Nd 3.27-3.49, 2 Dy 3.27
11 In 0.5000 0.1531 0.7539  2 Ho 3.20, 5 Nd 3.26-3.57, 1 Dy 3.33
12 In 0.5000 0.8469 0.2539  2 Ho 3.20, 5 Nd 3.26-3.57, 1 Dy 3.33

Calculated values
- V (Å³ per cell) = 358
- E_form (kJ/mol of atoms) = -34
- spin magnetization (μB/cell) = 0.000

Question: Which value of spin magnetization does entry 5 give?
Answer: 2.267 μB/cell

Question: Which formula does entry 5 have?
Answer: K8Rh3O8